(1)
Compound: Zr2TiAg2
Source: Alexandria
Functional: PBE
Structure: relaxed

abc: 8.186 8.186 3.113
angles: 90.00 90.00 90.00
Site moments in Bohr magnetons follow the coordinates.
Fractional coordinates of all 10 atoms:
Ag1 0.869 0.369 0.500  0.00
Ag2 0.131 0.631 0.500  0.00
Ag3 0.631 0.869 0.500  0.00
Ag4 0.369 0.131 0.500  0.00
Zr1 0.665 0.165 0.000  0.10
Zr2 0.165 0.335 0.000  0.10
Zr3 0.335 0.835 0.000  0.10
Zr4 0.835 0.665 0.000  0.10
Ti1 0.500 0.500 0.000  1.30
Ti2 0.000 0.000 0.000  1.30

Calculated values
- Spin magnetization: 1.91 μB/f.u.
- N(E_F): 0.80 states/eV/atom
- ΔE to the lowest computed polymorph: 134 kJ/mol of formula units
- Energy relative to the elements: 0.270 eV/atom



(2)
Compound: TlZnB
Source: Alexandria
Functional: PBE
Structure: relaxed

abc: 3.528 9.502 4.033
angles: 101.40 64.18 89.88
Fractional coordinates of all 6 atoms:
B1 0.986 0.265 0.764
B2 0.882 0.136 0.975
Zn1 0.265 0.296 0.207
Zn2 0.602 0.106 0.532
Tl1 0.011 0.855 0.720
Tl2 0.859 0.546 0.018

Calculated values
- Spin magnetization: 0.00 μB/f.u.
- N(E_F): 0.20 states/eV/atom
- Energy relative to the elements: 0.438 eV/atom